Computed, not measured: Cu2TePb at its PBEsol-relaxed geometry at the meta-GGA SCAN level of DFT.

Structure (POSCAR):
```
Cu2TePb
1.0
-4.040 -2.609 -0.217
-2.108 -1.515 4.054
-4.185 1.923 1.400
Te Cu Pb
1 2 1
direct
0.500 0.500 0.500
0.750 0.750 0.750
0.250 0.250 0.250
0.000 0.000 0.000
```

Values from the calculation:
Energy above the most stable polymorph in this dataset   358 meV/atom
Mass density   9.72 g/cm³
Energy   -35.459 eV per atom
Uncorrected formation energy   0.40 eV per atom